1.
! Si | Alexandria via LeMat-Bulk | SCAN | PBEsol geometry; values from VASP
&SYSTEM
  ibrav = 0, nat = 46, ntyp = 1
/
ATOMIC_SPECIES
Si 28.09 Si.upf
CELL_PARAMETERS angstrom
10.1684 0.0000 0.0000
0.0000 10.1684 0.0000
0.0000 0.0000 10.1684
ATOMIC_POSITIONS crystal
Si 0.0000 0.1170 0.3081
Si 0.0000 0.1170 0.6919
Si 0.0000 0.2500 0.5000
Si 0.0000 0.7500 0.5000
Si 0.0000 0.8830 0.3081
Si 0.0000 0.8830 0.6919
Si 0.1170 0.3081 0.0000
Si 0.1170 0.6919 0.0000
Si 0.1836 0.1836 0.1836
Si 0.1836 0.1836 0.8164
Si 0.1836 0.8164 0.1836
Si 0.1836 0.8164 0.8164
Si 0.1919 0.3830 0.5000
Si 0.1919 0.6170 0.5000
Si 0.2500 0.5000 0.0000
Si 0.3081 0.0000 0.1170
Si 0.3081 0.0000 0.8830
Si 0.3164 0.3164 0.3164
Si 0.3164 0.3164 0.6836
Si 0.3164 0.6836 0.3164
Si 0.3164 0.6836 0.6836
Si 0.3830 0.5000 0.1919
Si 0.3830 0.5000 0.8081
Si 0.5000 0.0000 0.2500
Si 0.5000 0.0000 0.7500
Si 0.5000 0.1919 0.3830
Si 0.5000 0.1919 0.6170
Si 0.5000 0.8081 0.3830
Si 0.5000 0.8081 0.6170
Si 0.6170 0.5000 0.1919
Si 0.6170 0.5000 0.8081
Si 0.6836 0.3164 0.3164
Si 0.6836 0.3164 0.6836
Si 0.6836 0.6836 0.3164
Si 0.6836 0.6836 0.6836
Si 0.6919 0.0000 0.1170
Si 0.6919 0.0000 0.8830
Si 0.7500 0.5000 0.0000
Si 0.8081 0.3830 0.5000
Si 0.8081 0.6170 0.5000
Si 0.8164 0.1836 0.1836
Si 0.8164 0.1836 0.8164
Si 0.8164 0.8164 0.1836
Si 0.8164 0.8164 0.8164
Si 0.8830 0.3081 0.0000
Si 0.8830 0.6919 0.0000
! Offset from the most stable computed form in eV/atom: 0.097
! Formation energy (no corrections) in eV/f.u.: 0.10
! Crystal system: cubic
! Calculated volume in Å³/cell: 1051


2.
! Si | Alexandria via LeMat-Bulk | SCAN | PBEsol geometry; values from VASP
&SYSTEM
  ibrav = 0, nat = 2, ntyp = 1
/
ATOMIC_SPECIES
Si 28.09 Si.upf
CELL_PARAMETERS angstrom
0.0000 2.7169 2.7169
2.7169 0.0000 2.7169
2.7169 2.7169 0.0000
ATOMIC_POSITIONS crystal
Si 0.1250 0.1250 0.1250
Si 0.8750 0.8750 0.8750
! Offset from the most stable computed form in eV/atom: 0.000
! Formation energy (no corrections) in eV/f.u.: 0.00
! Crystal system: cubic
! Calculated volume in Å³/cell: 40


3.
! Si | Alexandria via LeMat-Bulk | SCAN | PBEsol geometry; values from VASP
&SYSTEM
  ibrav = 0, nat = 46, ntyp = 1
/
ATOMIC_SPECIES
Si 28.09 Si.upf
CELL_PARAMETERS angstrom
8.3639 -6.3900 0.0000
8.3639 6.3900 0.0000
0.0000 0.0000 9.9658
ATOMIC_POSITIONS crystal
Si 0.0516 0.3007 0.6270
Si 0.0516 0.3007 0.8730
Si 0.0781 0.9219 0.6312
Si 0.0781 0.9219 0.8688
Si 0.1014 0.1014 0.0000
Si 0.1014 0.1014 0.5000
Si 0.1680 0.5936 0.0592
Si 0.1680 0.5936 0.4408
Si 0.2257 0.3893 0.5588
Si 0.2257 0.3893 0.9412
Si 0.2513 0.7487 0.5597
Si 0.2513 0.7487 0.9403
Si 0.3007 0.0516 0.1270
Si 0.3007 0.0516 0.3730
Si 0.3014 0.5572 0.2500
Si 0.3390 0.4290 0.7500
Si 0.3554 0.6446 0.7500
Si 0.3893 0.2257 0.0588
Si 0.3893 0.2257 0.4412
Si 0.4064 0.8320 0.0592
Si 0.4064 0.8320 0.4408
Si 0.4290 0.3390 0.2500
Si 0.4428 0.6986 0.2500
Si 0.5572 0.3014 0.7500
Si 0.5710 0.6610 0.7500
Si 0.5936 0.1680 0.5592
Si 0.5936 0.1680 0.9408
Si 0.6107 0.7743 0.5588
Si 0.6107 0.7743 0.9412
Si 0.6446 0.3554 0.2500
Si 0.6610 0.5710 0.2500
Si 0.6986 0.4428 0.7500
Si 0.6993 0.9484 0.6270
Si 0.6993 0.9484 0.8730
Si 0.7487 0.2513 0.0597
Si 0.7487 0.2513 0.4403
Si 0.7743 0.6107 0.0588
Si 0.7743 0.6107 0.4412
Si 0.8320 0.4064 0.5592
Si 0.8320 0.4064 0.9408
Si 0.8986 0.8986 0.0000
Si 0.8986 0.8986 0.5000
Si 0.9219 0.0781 0.1312
Si 0.9219 0.0781 0.3688
Si 0.9484 0.6993 0.1270
Si 0.9484 0.6993 0.3730
! Offset from the most stable computed form in eV/atom: 0.135
! Formation energy (no corrections) in eV/f.u.: 0.14
! Crystal system: orthorhombic
! Calculated volume in Å³/cell: 1065


4.
! Si | Alexandria via LeMat-Bulk | SCAN | PBEsol geometry; values from VASP
&SYSTEM
  ibrav = 0, nat = 40, ntyp = 1
/
ATOMIC_SPECIES
Si 28.09 Si.upf
CELL_PARAMETERS angstrom
10.1503 0.0000 0.0000
-5.0751 8.7904 0.0000
0.0000 0.0000 10.3303
ATOMIC_POSITIONS crystal
Si 0.0000 0.2416 0.0000
Si 0.0000 0.3807 0.1860
Si 0.0000 0.3807 0.8140
Si 0.0000 0.6193 0.1860
Si 0.0000 0.6193 0.8140
Si 0.0000 0.7584 0.0000
Si 0.1327 0.2654 0.5000
Si 0.1327 0.8673 0.5000
Si 0.2092 0.4185 0.3119
Si 0.2092 0.4185 0.6881
Si 0.2092 0.7908 0.3119
Si 0.2092 0.7908 0.6881
Si 0.2416 0.0000 0.0000
Si 0.2416 0.2416 0.0000
Si 0.2654 0.1327 0.5000
Si 0.3333 0.6667 0.3877
Si 0.3333 0.6667 0.6123
Si 0.3807 0.0000 0.1860
Si 0.3807 0.0000 0.8140
Si 0.3807 0.3807 0.1860
Si 0.3807 0.3807 0.8140
Si 0.4185 0.2092 0.3119
Si 0.4185 0.2092 0.6881
Si 0.5815 0.7908 0.3119
Si 0.5815 0.7908 0.6881
Si 0.6193 0.0000 0.1860
Si 0.6193 0.0000 0.8140
Si 0.6193 0.6193 0.1860
Si 0.6193 0.6193 0.8140
Si 0.6667 0.3333 0.3877
Si 0.6667 0.3333 0.6123
Si 0.7346 0.8673 0.5000
Si 0.7584 0.0000 0.0000
Si 0.7584 0.7584 0.0000
Si 0.7908 0.2092 0.3119
Si 0.7908 0.2092 0.6881
Si 0.7908 0.5815 0.3119
Si 0.7908 0.5815 0.6881
Si 0.8673 0.1327 0.5000
Si 0.8673 0.7346 0.5000
! Offset from the most stable computed form in eV/atom: 0.117
! Formation energy (no corrections) in eV/f.u.: 0.12
! Crystal system: hexagonal
! Calculated volume in Å³/cell: 922


5.
! Sm5Si3 | Alexandria via LeMat-Bulk | SCAN | PBEsol geometry; values from VASP
&SYSTEM
  ibrav = 0, nat = 16, ntyp = 2
/
ATOMIC_SPECIES
Sm 150.36 Sm.upf
Si 28.09 Si.upf
CELL_PARAMETERS angstrom
8.5644 0.0000 0.0000
-4.2822 7.4170 0.0000
0.0000 0.0000 6.4451
ATOMIC_POSITIONS crystal
Sm 0.0000 0.2461 0.2500
Sm 0.0000 0.7539 0.7500
Sm 0.2461 0.0000 0.2500
Sm 0.2461 0.2461 0.7500
Sm 0.3333 0.6667 0.0000
Sm 0.3333 0.6667 0.5000
Sm 0.6667 0.3333 0.0000
Sm 0.6667 0.3333 0.5000
Sm 0.7539 0.0000 0.7500
Sm 0.7539 0.7539 0.2500
Si 0.0000 0.3935 0.7500
Si 0.0000 0.6065 0.2500
Si 0.3935 0.0000 0.7500
Si 0.3935 0.3935 0.2500
Si 0.6065 0.0000 0.2500
Si 0.6065 0.6065 0.7500
! Formation energy (no corrections) in eV/f.u.: -5.34
! Crystal system: hexagonal
! Calculated volume in Å³/cell: 409


6.
! Sm5Si4 | Alexandria via LeMat-Bulk | SCAN | PBEsol geometry; values from VASP
&SYSTEM
  ibrav = 0, nat = 36, ntyp = 2
/
ATOMIC_SPECIES
Sm 150.36 Sm.upf
Si 28.09 Si.upf
CELL_PARAMETERS angstrom
7.5600 0.0000 0.0000
0.0000 14.7608 0.0000
0.0000 0.0000 7.7603
ATOMIC_POSITIONS crystal
Sm 0.0365 0.1002 0.1857
Sm 0.0365 0.3998 0.1857
Sm 0.1416 0.7500 0.5108
Sm 0.1866 0.1222 0.6808
Sm 0.1866 0.3778 0.6808
Sm 0.3134 0.6222 0.1808
Sm 0.3134 0.8778 0.1808
Sm 0.3584 0.2500 0.0108
Sm 0.4635 0.6002 0.6857
Sm 0.4635 0.8998 0.6857
Sm 0.5365 0.1002 0.3143
Sm 0.5365 0.3998 0.3143
Sm 0.6416 0.7500 0.9892
Sm 0.6866 0.1222 0.8192
Sm 0.6866 0.3778 0.8192
Sm 0.8134 0.6222 0.3192
Sm 0.8134 0.8778 0.3192
Sm 0.8584 0.2500 0.4892
Sm 0.9635 0.6002 0.8143
Sm 0.9635 0.8998 0.8143
Si 0.0179 0.7500 0.1006
Si 0.1391 0.5407 0.4734
Si 0.1391 0.9593 0.4734
Si 0.2452 0.2500 0.3764
Si 0.2548 0.7500 0.8764
Si 0.3609 0.0407 0.9734
Si 0.3609 0.4593 0.9734
Si 0.4821 0.2500 0.6006
Si 0.5179 0.7500 0.3994
Si 0.6391 0.5407 0.0266
Si 0.6391 0.9593 0.0266
Si 0.7452 0.2500 0.1236
Si 0.7548 0.7500 0.6236
Si 0.8609 0.0407 0.5266
Si 0.8609 0.4593 0.5266
Si 0.9821 0.2500 0.8994
! Formation energy (no corrections) in eV/f.u.: -6.78
! Crystal system: orthorhombic
! Calculated volume in Å³/cell: 866


7.
! SmZnSi | Alexandria via LeMat-Bulk | SCAN | PBEsol geometry; values from VASP
&SYSTEM
  ibrav = 0, nat = 3, ntyp = 3
/
ATOMIC_SPECIES
Sm 150.36 Sm.upf
Zn 65.41 Zn.upf
Si 28.09 Si.upf
CELL_PARAMETERS angstrom
4.0996 0.0000 0.0000
-2.0498 3.5503 0.0000
0.0000 0.0000 4.0982
ATOMIC_POSITIONS crystal
Sm 0.0000 0.0000 0.0000
Zn 0.6667 0.3333 0.5000
Si 0.3333 0.6667 0.5000
! Formation energy (no corrections) in eV/f.u.: -2.14
! Crystal system: hexagonal
! Calculated volume in Å³/cell: 60